Record 1
Ag3OF: optimized geometry, PBE.

Unit cell a=5.6547 b=5.6996 c=10.7148 alpha=90.00 beta=112.46 gamma=90.00
With the nearest neighbours (Å) after each atom.
Space group P2_1/c (No. 14)
Asymmetric unit:
Ag  0.0346  0.0023  0.2552 [4 per cell]  2 O 2.12-2.15
Ag  0.2009  0.1584  0.0135 [4 per cell]  1 O 2.27, 1 F 2.31
Ag  0.3185  0.6693  0.1381 [4 per cell]  1 F 2.28, 2 O 2.37-2.48
O  0.2570  0.2198  0.7250 [4 per cell]  4 Ag 2.12-2.37
F  0.3780  0.7503  0.4434 [4 per cell]  2 Ag 2.28-2.31

Its density of states at the Fermi level is 1.3 states/eV per cell. Its raw formation energy is -0.386 eV/atom. The density comes out at 7.5 g/cm3.



Record 2
BaAc8Os4: optimized geometry, PBE.

Unit cell a=21.2293 b=4.4450 c=14.3572 alpha=90.00 beta=131.44 gamma=90.00
With the nearest neighbours (Å) after each atom.
Space group C2/m (No. 12)
Asymmetric unit:
Ba  0.0000  0.0000  0.0000 [2 per cell]  10 Ac 4.39-4.53, 2 Ba 4.45
Ac  0.0411  0.0000  0.7355 [4 per cell]  3 Os 2.93-2.96
Ac  0.1356  0.5000  0.5919 [4 per cell]  3 Os 2.91-2.97
Ac  0.1676  0.5000  0.3508 [4 per cell]  3 Os 2.98-3.02
Ac  0.2151  0.5000  0.0745 [4 per cell]  3 Os 2.99-3.06
Os  0.1424  0.0000  0.4620 [4 per cell]  6 Ac 2.93-3.02
Os  0.1593  0.5000  0.8158 [4 per cell]  6 Ac 2.91-3.06

Its density of states at the Fermi level is 18.2 states/eV per cell. The density comes out at 8.9 g/cm3. The formation energy from the elements comes out at 0.09 eV per formula unit.



Question: What is the density of states at the Fermi level in the second record?
Answer: 18.2 states/eV per cell



Question: Among the records above, which one has the highest density?
Answer: BaAc8Os4